Computed, not measured: BaLa2Ni after structural relaxation at the PBE-GGA level of DFT.

calculated formation energy: 0.18 eV per formula unit

Lattice parameters (Å, degrees): 9.397 9.397 9.397 157.26 153.50 35.19
Positions (direct):
1 La 0.002 0.002 0.000
2 La 0.651 0.151 0.500
3 Ba 0.326 0.826 0.500
4 Ni 0.521 0.521 0.000

=====

Computed, not measured: PrNdBiI after structural relaxation at the PBE-GGA level of DFT.

formation energy from raw total energies: -84 kJ/mol of atoms

Lattice parameters (Å, degrees): 5.603 5.603 5.603 60.00 60.00 60.00
Positions (direct):
1 Nd 0.750 0.750 0.750
2 I 0.000 0.000 0.000
3 Bi 0.500 0.500 0.500
4 Pr 0.250 0.250 0.250